1.
Material: CrCo3
Method: DFT, SCAN
State: PBEsol geometry

density of states at the Fermi level = 14.88 states/eV per cell
E_tot = -17.42 eV per atom
crystal system = tetragonal
calculated formation energy = 15 kJ per mole of atoms

The structure in CIF format:
```
data_CrCo3
_chemical_formula_sum 'Cr4 Co12'
_cell_length_a 3.4306
_cell_length_b 3.4306
_cell_length_c 13.7096
_cell_angle_alpha 90.00
_cell_angle_beta 90.00
_cell_angle_gamma 90.00
_symmetry_space_group_name_H-M 'I 4/m m m'
_symmetry_Int_Tables_number 139
_symmetry_space_group_name_Hall '-I 4 2'
loop_
_atom_site_label
_atom_site_fract_x
_atom_site_fract_y
_atom_site_fract_z
_atom_site_occupancy
Cr1 0.0000 0.0000 0.1279 1
Co1 0.0000 0.0000 0.3780 1
Co2 0.0000 0.5000 0.0000 1
Co3 0.0000 0.5000 0.2500 1
```

---

2.
Material: ZnCr2Au
Method: DFT, SCAN
State: PBEsol geometry

density of states at the Fermi level = 1.63 states/eV per cell
E_tot = -29.95 eV per atom
crystal system = tetragonal
calculated formation energy = -9 kJ per mole of atoms

The structure in CIF format:
```
data_ZnCr2Au
_chemical_formula_sum 'Zn1 Cr2 Au1'
_cell_length_a 3.0376
_cell_length_b 3.0376
_cell_length_c 5.8770
_cell_angle_alpha 90.00
_cell_angle_beta 90.00
_cell_angle_gamma 90.00
_symmetry_space_group_name_H-M 'P 4 m m'
_symmetry_Int_Tables_number 99
loop_
_symmetry_equiv_pos_as_xyz
'x,y,z'
'-y,x,z'
'-x,-y,z'
'y,-x,z'
'-x,y,z'
'y,x,z'
'x,-y,z'
'-y,-x,z'
loop_
_atom_site_label
_atom_site_fract_x
_atom_site_fract_y
_atom_site_fract_z
_atom_site_occupancy
Zn1 0.0000 0.0000 0.0000 1
Cr1 0.0000 0.0000 0.5589 1
Cr2 0.5000 0.5000 0.7360 1
Au1 0.5000 0.5000 0.2592 1
```

---

3.
Material: La2ScSe
Method: DFT, SCAN
State: PBEsol geometry

density of states at the Fermi level = 8.96 states/eV per cell
formation energy (no corrections) = -0.861 eV per atom
E_tot = -30.99 eV per atom
crystal system = trigonal

The structure in CIF format:
```
data_La2ScSe
_chemical_formula_sum 'La6 Sc3 Se3'
_cell_length_a 3.9142
_cell_length_b 3.9142
_cell_length_c 26.8275
_cell_angle_alpha 90.00
_cell_angle_beta 90.00
_cell_angle_gamma 120.00
_symmetry_space_group_name_H-M 'R -3 m'
_symmetry_Int_Tables_number 166
_symmetry_space_group_name_Hall '-R 3 2"'
loop_
_atom_site_label
_atom_site_fract_x
_atom_site_fract_y
_atom_site_fract_z
_atom_site_occupancy
La1 0.0000 0.0000 0.2394 1
Sc1 0.0000 0.0000 0.0000 1
Se1 0.0000 0.0000 0.5000 1
```

---

4.
Material: NbCrP2
Method: DFT, SCAN
State: PBEsol geometry

density of states at the Fermi level = 10.47 states/eV per cell
E_tot = -18.38 eV per atom
crystal system = cubic
calculated formation energy = -29 kJ per mole of atoms

The structure in CIF format:
```
data_NbCrP2
_chemical_formula_sum 'Nb4 Cr4 P8'
_cell_length_a 5.9545
_cell_length_b 5.9545
_cell_length_c 5.9545
_cell_angle_alpha 90.00
_cell_angle_beta 90.00
_cell_angle_gamma 90.00
_symmetry_space_group_name_H-M 'F m -3 m'
_symmetry_Int_Tables_number 225
_symmetry_space_group_name_Hall '-F 4 2 3'
loop_
_atom_site_label
_atom_site_fract_x
_atom_site_fract_y
_atom_site_fract_z
_atom_site_occupancy
Nb1 0.0000 0.0000 0.0000 1
Cr1 0.0000 0.0000 0.5000 1
P1 0.2500 0.2500 0.2500 1
```

---

5.
Material: LaEr4Ge3
Method: DFT, SCAN
State: PBEsol geometry

density of states at the Fermi level = 8.38 states/eV per cell
E_tot = -38.54 eV per atom
crystal system = trigonal
calculated formation energy = -79 kJ per mole of atoms

The structure in CIF format:
```
data_LaEr4Ge3
_chemical_formula_sum 'La2 Er8 Ge6'
_cell_length_a 8.4108
_cell_length_b 8.4108
_cell_length_c 6.4184
_cell_angle_alpha 90.00
_cell_angle_beta 90.00
_cell_angle_gamma 120.00
_symmetry_space_group_name_H-M 'P -3 1 m'
_symmetry_Int_Tables_number 162
_symmetry_space_group_name_Hall '-P 3 2'
loop_
_atom_site_label
_atom_site_fract_x
_atom_site_fract_y
_atom_site_fract_z
_atom_site_occupancy
La1 0.3333 0.6667 0.0000 1
Er1 0.0000 0.2403 0.7427 1
Er2 0.3333 0.6667 0.5000 1
Ge1 0.0000 0.3919 0.2721 1
```

---

6.
Material: LiZrS2
Method: DFT, SCAN
State: PBEsol geometry

density of states at the Fermi level = 11.00 states/eV per cell
formation energy (no corrections) = -1.410 eV per atom
E_tot = -14.50 eV per atom
crystal system = tetragonal

The structure in CIF format:
```
data_LiZrS2
_chemical_formula_sum 'Li4 Zr4 S8'
_cell_length_a 5.7314
_cell_length_b 5.7314
_cell_length_c 10.7065
_cell_angle_alpha 90.00
_cell_angle_beta 90.00
_cell_angle_gamma 90.00
_symmetry_space_group_name_H-M 'I -4 2 d'
_symmetry_Int_Tables_number 122
_symmetry_space_group_name_Hall 'I -4 2bw'
loop_
_atom_site_label
_atom_site_fract_x
_atom_site_fract_y
_atom_site_fract_z
_atom_site_occupancy
Li1 0.0000 0.0000 0.0000 1
Zr1 0.0000 0.0000 0.5000 1
S1 0.2426 0.2500 0.1250 1
```